Arrangement 1

Here is NbTlSN2 after structural relaxation from the Alexandria database. Energies are from GGA-PBE.

POSCAR file:
```
NbTlSN2
1.0
4.1737 0.0000 0.0000
0.0000 4.1737 0.0000
0.0000 0.0000 5.3098
Nb Tl S N
1 1 1 2
direct
0.0000 0.0000 0.0000
0.5000 0.5000 0.5000
0.5000 0.5000 0.0000
0.0000 0.5000 0.5000
0.5000 0.0000 0.5000
```

Properties
ρ, Mg/m³: 6.416
Space group: P4/mmm



Arrangement 2

Here is NbTlSN2 after structural relaxation from the Alexandria database. Energies are from GGA-PBE.

POSCAR file:
```
NbTlSN2
1.0
4.0767 0.0000 0.0000
0.0000 4.0767 0.0000
0.0000 0.0000 5.2771
Nb Tl S N
1 1 1 2
direct
0.0000 0.0000 0.0000
0.5000 0.5000 0.5000
0.0000 0.0000 0.5000
0.0000 0.5000 0.0000
0.5000 0.0000 0.0000
```

Properties
ρ, Mg/m³: 6.766
Space group: P4/mmm



Short version: arrangement 2, arrangement 1, most stable first.